## TaSiNi2H (PBE-GGA)

Data for a relaxed structure of TaSiNi2H.

Summary:
DFT total energy: -6.70 eV per atom
Magnetization: 0.0 μB per formula unit
Density: 9.97 g cm⁻³
Symmetry: P4/mmm (123)

Cell lengths 3.649, 3.649, 4.094 Å; angles 90.00, 90.00, 90.00 degrees
Element x y z (fractional)
Ta  0.000  0.000  0.500
Ni  0.500  0.000  0.000
Ni  0.000  0.500  0.000
Si  0.500  0.500  0.500
H  0.000  0.000  0.000

## Ca2TlCrCo (PBE-GGA)

Data for a relaxed structure of Ca2TlCrCo.

Summary:
DFT total energy: -4.31 eV per atom
Magnetization: 3.4 μB per formula unit
Formation energy from the elements: 305 meV/atom
Density: 5.00 g cm⁻³
Symmetry: P4/mmm (123)

Cell lengths 5.441, 4.435, 5.441 Å; angles 90.00, 90.00, 90.00 degrees
Element x y z (fractional)
Co  0.000  0.000  0.000
Ca  0.500  0.000  0.000
Ca  0.000  0.000  0.500
Tl  0.500  0.500  0.500
Cr  0.000  0.500  0.000

## LiNiOs (PBE-GGA)

Data for a relaxed structure of LiNiOs.

Summary:
DFT total energy: -6.13 eV per atom
Magnetization: 0.0 μB per formula unit
Formation energy from the elements: 183 meV/atom
Density: 10.71 g cm⁻³
Energy above the lowest structure with this stoichiometry: 0.000 eV/atom
Symmetry: P3m1 (156)

Cell lengths 2.640, 2.640, 6.574 Å; angles 90.00, 90.00, 120.00 degrees
Element x y z (fractional)
Os  0.333  0.667  0.650
Ni  0.667  0.333  0.341
Li  0.000  0.000  0.009

## LiMn2Os (PBE-GGA)

Data for a relaxed structure of LiMn2Os.

Summary:
DFT total energy: -7.56 eV per atom
Magnetization: 1.3 μB per formula unit
Formation energy from the elements: 310 meV/atom
Density: 10.78 g cm⁻³
Symmetry: Pmmm (47)

Cell lengths 2.565, 3.843, 4.800 Å; angles 90.00, 90.00, 90.00 degrees
Element x y z (fractional)
Li  0.500  0.500  0.750
Mn  0.000  0.000  0.983
Mn  0.000  0.000  0.517
Os  0.500  0.500  0.250

## SmTc2H7 (PBE-GGA)

Data for a relaxed structure of SmTc2H7.

Summary:
DFT total energy: -4.99 eV per atom
Magnetization: 0.0 μB per formula unit
Density: 6.85 g cm⁻³
Symmetry: Cmmm (65)

Cell lengths 3.565, 5.429, 5.195 Å; angles 121.50, 90.00, 90.00 degrees
Element x y z (fractional)
Tc  0.500  0.696  0.391
Tc  0.500  0.304  0.609
H  0.500  0.317  0.267
H  0.000  0.275  0.550
H  0.500  0.950  0.267
H  0.500  0.050  0.733
H  0.000  0.725  0.450
H  0.500  0.683  0.733
H  0.500  0.500  0.000
Sm  0.000  0.000  0.000

## BaMnAgBr2 (PBE-GGA)

Data for a relaxed structure of BaMnAgBr2.

Summary:
DFT total energy: -3.54 eV per atom
Magnetization: 5.8 μB per formula unit
Uncorrected formation energy: -0.09 eV/atom
Density: 3.04 g cm⁻³
Symmetry: P4/mmm (123)

Cell lengths 6.177, 6.576, 6.177 Å; angles 90.00, 90.00, 90.00 degrees
Element x y z (fractional)
Br  0.000  0.000  0.500
Br  0.500  0.000  0.000
Ba  0.000  0.000  0.000
Mn  0.500  0.500  0.500
Ag  0.000  0.500  0.000

Result set for V: 55; 131; 40; 47; 86; 251 Å³ per cell, one per record in the order listed.